Here is a geometry-optimized H2PtCl8 structure from Alexandria. Energies are from PBE-GGA.

Results
Space group: C2/m, No. 12
Total magnetization: 2.18 μB per formula unit

a b c (Å): 5.2271 8.2013 8.2016
angles (deg): 71.07 94.82 94.82
Last column: nearest neighbours and their distance in Å.
Element x y z (fractional)
Cl  0.2959  0.2282  0.8805  1 Pt 2.33
Cl  0.4221  0.3560  0.3560  1 H 1.30
Cl  0.2959  0.8805  0.2282  1 Pt 2.33
Cl  0.7041  0.7718  0.1195  1 Pt 2.33
Cl  0.1192  0.8346  0.8346  1 H 2.31, 1 Pt 2.36
Cl  0.8808  0.1654  0.1654  1 H 2.31, 1 Pt 2.36
Cl  0.5779  0.6440  0.6440  1 H 1.30
Cl  0.7041  0.1195  0.7718  1 Pt 2.33
H  0.2389  0.2818  0.2818  1 Cl 1.30
H  0.7611  0.7182  0.7182  1 Cl 1.30
Pt  0.0000  0.0000  0.0000  6 Cl 2.33-2.36



Here is a geometry-optimized RbHPtCl6 structure from Alexandria. Energies are from PBE-GGA.

Results
Space group: P-1, No. 2
Total magnetization: 0.00 μB per formula unit

a b c (Å): 7.8688 7.5058 6.4460
angles (deg): 66.66 75.02 46.61
Last column: nearest neighbours and their distance in Å.
Element x y z (fractional)
Cl  0.0490  0.2759  0.4479  1 Pt 2.36
Cl  0.0503  0.6174  0.6540  1 H 1.57
Cl  0.2493  0.5769  0.1380  1 Pt 2.35
Cl  0.6163  0.9381  0.3460  1 H 1.57
Cl  0.4173  0.9786  0.8622  1 Pt 2.35
Cl  0.6176  0.2799  0.5520  1 Pt 2.36
Rb  0.8333  0.2777  0.9999  10 Cl 3.50-3.73, 2 H 3.86
Pt  0.3333  0.2777  0.5000  6 Cl 2.35-2.36
H  0.8334  0.7779  0.4999  2 Cl 1.57



| no. | raw total energy (Ry/atom) |
| --- | --- |
| 1 | -0.2032 |
| 2 | -0.2341 |